Density functional theory data (GGA-PBEsol) for a relaxed structure of Li2AlZn.

Cell lengths 3.798, 3.798, 4.989 Å; angles 112.38, 112.38, 90.00 degrees
Atoms (fractional coordinates):
Zn  0.500  0.500  0.000
Al  0.000  0.000  0.000
Li  0.750  0.250  0.500
Li  0.250  0.750  0.500

## Properties
SG   I4/mmm (139)

---

Density functional theory data (GGA-PBEsol) for a relaxed structure of LiAl2Zn.

Cell lengths 3.961, 3.961, 4.797 Å; angles 114.38, 114.38, 90.00 degrees
Atoms (fractional coordinates):
Zn  0.250  0.750  0.500
Al  0.500  0.500  0.000
Al  0.750  0.250  0.500
Li  0.000  0.000  0.000

## Properties
SG   I-4m2 (119)

---

Density functional theory data (GGA-PBEsol) for a relaxed structure of Li2AlZn.

Cell lengths 3.205, 4.208, 5.154 Å; angles 114.09, 108.12, 90.00 degrees
Atoms (fractional coordinates):
Zn  0.500  0.000  0.000
Al  0.000  0.500  0.000
Li  0.758  0.758  0.515
Li  0.242  0.242  0.485

## Properties
SG   Immm (71)

---

Density functional theory data (GGA-PBEsol) for a relaxed structure of LiAlZn2.

Cell lengths 3.856, 3.856, 4.748 Å; angles 113.96, 113.96, 90.00 degrees
Atoms (fractional coordinates):
Zn  0.000  0.000  0.000
Zn  0.250  0.750  0.500
Al  0.500  0.500  0.000
Li  0.750  0.250  0.500

## Properties
SG   I-4m2 (119)

---

Density functional theory data (GGA-PBEsol) for a relaxed structure of Li2AlZn.

Cell lengths 3.200, 4.200, 4.426 Å; angles 90.00, 90.00, 90.00 degrees
Atoms (fractional coordinates):
Zn  0.500  0.000  0.500
Al  0.000  0.500  0.500
Li  0.000  0.000  0.000
Li  0.500  0.500  0.000

## Properties
SG   Pmmm (47)

---

Density functional theory data (GGA-PBEsol) for a relaxed structure of LiAl2Zn.

Cell lengths 3.306, 3.306, 5.648 Å; angles 90.00, 90.00, 90.00 degrees
Atoms (fractional coordinates):
Zn  0.500  0.500  0.742
Al  0.000  0.000  0.993
Al  0.500  0.500  0.257
Li  0.000  0.000  0.508

## Properties
SG   P4mm (99)

---

Density functional theory data (GGA-PBEsol) for a relaxed structure of LiAl2Zn.

Cell lengths 2.787, 4.900, 4.900 Å; angles 111.40, 90.00, 90.00 degrees
Atoms (fractional coordinates):
Zn  0.500  0.500  0.500
Al  0.000  0.500  0.000
Al  0.000  0.000  0.500
Li  0.500  0.000  0.000

## Properties
SG   Cmmm (65)

---

Density functional theory data (GGA-PBEsol) for a relaxed structure of LiAl2Zn.

Cell lengths 2.894, 3.888, 5.458 Å; angles 90.00, 90.00, 90.00 degrees
Atoms (fractional coordinates):
Zn  0.500  0.500  0.747
Al  0.000  0.000  0.997
Al  0.500  0.500  0.252
Li  0.000  0.000  0.505

## Properties
SG   Pmm2 (25)

---

Density functional theory data (GGA-PBEsol) for a relaxed structure of LiAl2Zn.

Cell lengths 2.811, 4.312, 5.337 Å; angles 90.00, 102.44, 90.00 degrees
Atoms (fractional coordinates):
Zn  0.663  0.500  0.731
Al  0.820  0.000  0.010
Al  0.416  0.500  0.225
Li  0.101  0.000  0.534

## Properties
SG   Pm (6)

---

Density functional theory data (GGA-PBEsol) for a relaxed structure of LiAlZn2.

Cell lengths 2.796, 4.172, 5.288 Å; angles 90.00, 105.33, 90.00 degrees
Atoms (fractional coordinates):
Zn  0.824  0.000  0.648
Zn  0.683  0.500  0.366
Al  0.081  0.000  0.162
Li  0.423  0.500  0.845

## Properties
SG   Amm2 (38)

---

Density functional theory data (GGA-PBEsol) for a relaxed structure of Li2AlZn.

Cell lengths 2.745, 4.381, 5.027 Å; angles 90.00, 90.02, 90.00 degrees
Atoms (fractional coordinates):
Zn  0.374  0.000  0.477
Al  0.376  0.500  0.769
Li  0.876  0.000  0.973
Li  0.874  0.500  0.280

## Properties
SG   Pm (6)

---

Density functional theory data (GGA-PBEsol) for a relaxed structure of Li2AlZn.

Cell lengths 2.698, 5.042, 5.042 Å; angles 116.33, 94.69, 94.69 degrees
Atoms (fractional coordinates):
Zn  0.500  0.500  0.500
Al  0.500  0.000  0.000
Li  0.000  0.500  0.000
Li  0.000  0.000  0.500

## Properties
SG   C2/m (12)

---

Density functional theory data (GGA-PBEsol) for a relaxed structure of Li2AlZn.

Cell lengths 2.691, 4.341, 5.304 Å; angles 90.00, 102.19, 90.00 degrees
Atoms (fractional coordinates):
Zn  0.500  0.500  0.000
Al  0.500  0.500  0.500
Li  0.032  0.000  0.752
Li  0.968  0.000  0.248

## Properties
SG   P2/m (10)

---

Density functional theory data (GGA-PBEsol) for a relaxed structure of LiAlZn2.

Cell lengths 3.277, 3.277, 5.454 Å; angles 90.00, 90.00, 90.00 degrees
Atoms (fractional coordinates):
Zn  0.000  0.000  0.995
Zn  0.500  0.500  0.246
Al  0.000  0.000  0.499
Li  0.500  0.500  0.760

## Properties
SG   P4mm (99)

---

Density functional theory data (GGA-PBEsol) for a relaxed structure of LiAl2Zn.

Cell lengths 2.859, 2.859, 8.967 Å; angles 80.83, 80.83, 60.00 degrees
Atoms (fractional coordinates):
Zn  0.250  0.250  0.250
Al  0.998  0.998  0.006
Al  0.750  0.750  0.749
Li  0.502  0.502  0.494

## Properties
SG   R3m (160)

---

Density functional theory data (GGA-PBEsol) for a relaxed structure of Li2AlZn.

Cell lengths 2.861, 2.861, 7.249 Å; angles 90.00, 90.00, 90.00 degrees
Atoms (fractional coordinates):
Zn  0.500  0.500  0.000
Al  0.500  0.500  0.500
Li  0.000  0.000  0.760
Li  0.000  0.000  0.240

## Properties
SG   P4/mmm (123)

---

Density functional theory data (GGA-PBEsol) for a relaxed structure of LiAlZn2.

Cell lengths 3.887, 3.887, 4.697 Å; angles 114.45, 114.45, 90.00 degrees
Atoms (fractional coordinates):
Zn  0.750  0.250  0.500
Zn  0.250  0.750  0.500
Al  0.500  0.500  0.000
Li  0.000  0.000  0.000

## Properties
SG   I4/mmm (139)

---

Density functional theory data (GGA-PBEsol) for a relaxed structure of LiAl2Zn.

Cell lengths 3.961, 3.961, 4.802 Å; angles 114.35, 114.35, 90.00 degrees
Atoms (fractional coordinates):
Zn  0.000  0.000  0.000
Al  0.750  0.250  0.500
Al  0.250  0.750  0.500
Li  0.500  0.500  0.000

## Properties
SG   I4/mmm (139)

---

Density functional theory data (GGA-PBEsol) for a relaxed structure of LiAl2Zn.

Cell lengths 2.731, 4.917, 5.418 Å; angles 116.55, 103.87, 91.55 degrees
Atoms (fractional coordinates):
Zn  0.500  0.000  0.000
Al  0.500  0.500  0.500
Al  0.000  0.000  0.500
Li  0.000  0.500  0.000

## Properties
SG   C2/m (12)

---

Density functional theory data (GGA-PBEsol) for a relaxed structure of LiAl2Zn.

Cell lengths 2.751, 4.811, 4.953 Å; angles 98.55, 90.00, 106.62 degrees
Atoms (fractional coordinates):
Zn  0.749  0.499  0.257
Al  0.001  0.002  0.001
Al  0.252  0.503  0.747
Li  0.498  0.995  0.495

## Properties
SG   Cm (8)

---

no.,formation enthalpy at 0 K (eV per formula unit)
1,-0.5
2,-0.4
3,-0.5
4,-0.4
5,-0.5
6,-0.2
7,-0.2
8,-0.4
9,-0.2
10,-0.4
11,-0.6
12,-0.5
13,-0.5
14,-0.2
15,-0.2
16,-0.5
17,-0.5
18,-0.3
19,-0.1
20,-0.2